No. 1
An optimized crystal structure of Tb2Nd3Er2, computed with PBE.

Output
Its total energy is -4.5563 eV per atom. The energy relative to the elements comes out at 0.11 eV per atom. The polymorph energy (0 for the lowest one) comes out at 96 meV/atom. For the calculated density, the calculation gives 7.729 g/cm3. The value obtained for the density of states at the Fermi level is 10.79 states/eV/cell.

Cell lengths 8.9788, 8.9788, 8.5724 Å; angles 118.13, 118.13, 22.63 degrees
With the nearest neighbours (Å) after each atom.
Sites, in units of the cell vectors:
Tb 0.0645 0.0645 0.4106  3 Tb 3.30-3.52, 5 Nd 3.49-3.65, 4 Er 3.59-3.68
Tb 0.9355 0.9355 0.5894  3 Tb 3.30-3.52, 5 Nd 3.49-3.65, 4 Er 3.59-3.68
Nd 0.2867 0.2867 0.7024  5 Nd 3.38-3.54, 3 Tb 3.49-3.65, 3 Er 3.61-3.63
Nd 0.5000 0.5000 0.0000  4 Nd 3.38-3.52, 2 Er 3.52, 4 Tb 3.60
Nd 0.7133 0.7133 0.2977  5 Nd 3.38-3.54, 3 Tb 3.49-3.65, 3 Er 3.61-3.63
Er 0.3555 0.3555 0.1752  4 Nd 3.52-3.63, 4 Er 3.52-3.90, 4 Tb 3.59-3.68
Er 0.6445 0.6445 0.8248  4 Nd 3.52-3.63, 4 Er 3.52-3.90, 4 Tb 3.59-3.68

=====

No. 2
An optimized crystal structure of Na8TiSe6, computed with PBE.

Output
Its total energy is -3.6582 eV per atom. Its uncorrected formation energy is -1.0345 eV per atom. For the calculated density, the calculation gives 2.786 g/cm3. The value obtained for the density of states at the Fermi level is 0.00 states/eV/cell.

Cell lengths 8.2712, 8.5677, 11.8693 Å; angles 90.00, 90.00, 90.00 degrees
With the nearest neighbours (Å) after each atom.
Sites, in units of the cell vectors:
Na 0.0000 0.1329 0.0000  4 Se 2.93-3.07
Na 0.0000 0.2357 0.4509  3 Se 2.78-2.89
Na 0.1830 0.6297 0.1160  3 Se 2.89-2.97, 2 Na 3.03-3.05
Na 0.1971 0.5751 0.8093  4 Se 2.85-3.11, 2 Na 3.05-3.18
Na 0.2332 0.9393 0.7628  4 Se 2.88-3.16, 1 Na 3.18
Na 0.2668 0.0607 0.2628  4 Se 2.88-3.16, 1 Na 3.18
Na 0.3029 0.4249 0.3093  4 Se 2.85-3.11, 2 Na 3.05-3.18
Na 0.3170 0.3703 0.6160  3 Se 2.89-2.97, 2 Na 3.03-3.05
Na 0.5000 0.7643 0.9509  3 Se 2.78-2.89
Na 0.5000 0.8671 0.5000  4 Se 2.93-3.07
Na 0.6830 0.3703 0.6160  3 Se 2.89-2.97, 2 Na 3.03-3.05
Na 0.6971 0.4249 0.3093  4 Se 2.85-3.11, 2 Na 3.05-3.18
Na 0.7332 0.0607 0.2628  4 Se 2.88-3.16, 1 Na 3.18
Na 0.7668 0.9393 0.7628  4 Se 2.88-3.16, 1 Na 3.18
Na 0.8029 0.5751 0.8093  4 Se 2.85-3.11, 2 Na 3.05-3.18
Na 0.8170 0.6297 0.1160  3 Se 2.89-2.97, 2 Na 3.03-3.05
Ti 0.0000 0.7403 0.4661  4 Se 2.38-2.46
Ti 0.5000 0.2597 0.9661  4 Se 2.38-2.46
Se 0.0000 0.2950 0.2177  6 Na 2.82-3.03
Se 0.0000 0.5111 0.5909  1 Ti 2.46
Se 0.0000 0.7843 0.9412  7 Na 2.88-3.16
Se 0.0000 0.9670 0.5822  1 Ti 2.38
Se 0.2366 0.7473 0.3483  1 Ti 2.41
Se 0.2634 0.2527 0.8483  1 Ti 2.41
Se 0.5000 0.0330 0.0822  1 Ti 2.38
Se 0.5000 0.2157 0.4412  7 Na 2.88-3.16
Se 0.5000 0.4889 0.0909  1 Ti 2.46
Se 0.5000 0.7050 0.7177  6 Na 2.82-3.03
Se 0.7366 0.2527 0.8483  1 Ti 2.41
Se 0.7634 0.7473 0.3483  1 Ti 2.41

=====

No. 3
An optimized crystal structure of Zr4Al2H, computed with PBE.

Output
Its total energy is -6.5958 eV per atom. The polymorph energy (0 for the lowest one) comes out at 135 meV/atom. For the calculated density, the calculation gives 5.391 g/cm3. The value obtained for the density of states at the Fermi level is 6.39 states/eV/cell.

Cell lengths 5.4517, 2.9586, 8.4638 Å; angles 90.00, 108.69, 90.00 degrees
With the nearest neighbours (Å) after each atom.
Sites, in units of the cell vectors:
Zr 0.0000 0.0000 0.0000  1 H 2.09
Zr 0.0708 0.5000 0.6416  2 H 2.16
Zr 0.5730 0.5000 0.6410  2 H 2.15
Zr 0.6498 0.0000 0.2951  2 Zr 2.96, 6 Al 3.02-3.11
Al 0.1642 0.5000 0.3235  8 Zr 2.89-3.11, 2 Al 2.96
Al 0.4831 0.5000 0.9661  8 Zr 2.94-3.11, 2 Al 2.96
H 0.8703 0.0000 0.7392  5 Zr 2.09-2.16

=====

No. 4
An optimized crystal structure of Ba2CdP, computed with PBE.

Output
Its total energy is -3.1746 eV per atom. The energy relative to the elements comes out at -0.63 eV per atom. The polymorph energy (0 for the lowest one) comes out at 10 meV/atom. For the calculated density, the calculation gives 5.090 g/cm3. The value obtained for the density of states at the Fermi level is 1.46 states/eV/cell.

Cell lengths 4.0775, 4.0858, 8.1854 Å; angles 90.00, 90.07, 90.00 degrees
With the nearest neighbours (Å) after each atom.
Sites, in units of the cell vectors:
Ba 0.0002 0.0000 0.2066  4 P 3.34-3.35, 1 Ba 3.38
Ba 0.9998 0.0000 0.7934  4 P 3.34-3.35, 1 Ba 3.38
Cd 0.5000 0.5000 0.5000  8 Ba 3.75-3.76, 4 Cd 4.08-4.09, 2 P 4.09
P 0.5000 0.5000 0.0000  8 Ba 3.34-3.35

=====

No. 5
An optimized crystal structure of CuSn4Te5, computed with PBE.

Output
Its total energy is -3.7375 eV per atom. Its uncorrected formation energy is -0.1559 eV per atom. For the calculated density, the calculation gives 6.433 g/cm3. The value obtained for the density of states at the Fermi level is 5.50 states/eV/cell.

Cell lengths 15.6804, 15.6804, 15.6804 Å; angles 163.70, 163.70, 23.13 degrees
With the nearest neighbours (Å) after each atom.
Sites, in units of the cell vectors:
Cu 0.0000 0.0000 0.0000  2 Te 2.73
Sn 0.1950 0.1950 0.0000  6 Te 3.15-3.26
Sn 0.4030 0.4030 0.0000  6 Te 2.98-3.21
Sn 0.5970 0.5970 0.0000  6 Te 2.98-3.21
Sn 0.8050 0.8050 0.0000  6 Te 3.15-3.26
Te 0.0887 0.0887 0.0000  1 Cu 2.73
Te 0.2985 0.2985 0.0000  6 Sn 3.15-3.21
Te 0.5000 0.5000 0.0000  2 Sn 2.98, 4 Cu 3.14
Te 0.7015 0.7015 0.0000  6 Sn 3.15-3.21
Te 0.9113 0.9113 0.0000  1 Cu 2.73

=====

No. 6
An optimized crystal structure of ZrTa2Ni, computed with PBE.

Output
Its total energy is -9.3496 eV per atom. The energy relative to the elements comes out at 0.16 eV per atom. The polymorph energy (0 for the lowest one) comes out at 228 meV/atom. For the calculated density, the calculation gives 12.301 g/cm3. The value obtained for the density of states at the Fermi level is 4.60 states/eV/cell.

Cell lengths 4.4930, 4.4930, 3.4225 Å; angles 90.00, 90.00, 90.00 degrees
With the nearest neighbours (Å) after each atom.
Sites, in units of the cell vectors:
Zr 0.0000 0.0000 0.0000  8 Ta 2.82
Ta 0.0000 0.5000 0.5000  4 Zr 2.82, 4 Ni 2.82
Ta 0.5000 0.0000 0.5000  4 Zr 2.82, 4 Ni 2.82
Ni 0.5000 0.5000 0.0000  8 Ta 2.82

=====

Question: calculated density of number 1 (Tb2Nd3Er2)?
Answer: 7.729 g/cm3

=====

Question: Which of these has the lowest calculated density?
Answer: Na8TiSe6